# 1
# YHo4Er7, relaxed, DFT PBE
data_YHo4Er7
_cell_length_a 11.992
_cell_length_b 5.800
_cell_length_c 12.571
_cell_angle_alpha 90.00
_cell_angle_beta 118.29
_cell_angle_gamma 90.00
_space_group_name_H-M_alt 'C 1 2/m 1'
_space_group_IT_number 12
loop_
_space_group_symop_operation_xyz
'x,y,z'
'-x,-y,-z'
'-x,y,-z'
'x,-y,z'
'x+1/2,y+1/2,z'
'-x+1/2,-y+1/2,-z'
'-x+1/2,y+1/2,-z'
'x+1/2,-y+1/2,z'
loop_
_atom_site_label
_atom_site_type_symbol
_atom_site_fract_x
_atom_site_fract_y
_atom_site_fract_z
Y1 Y 0.000 0.000 0.000
Ho1 Ho 0.135 0.500 0.775
Ho2 Ho 0.249 0.000 0.684
Er1 Er 0.000 0.500 0.000
Er2 Er 0.059 0.000 0.325
Er3 Er 0.135 0.500 0.502
Er4 Er 0.213 0.000 0.924
# **D(E_F)**: 40.42 states/eV/cell
# **Electronic total energy**: -4.4289 eV per atom
# **Distance to the lowest polymorph of the same formula**: 4.78 kcal/mol of atoms
# **Crystal system**: monoclinic
# **Formation energy**: 28.69 kJ per mole of atoms

=====

# 2
# Y4Ho6Er, relaxed, DFT PBE
data_Y4Ho6Er
_cell_length_a 6.534
_cell_length_b 6.534
_cell_length_c 17.079
_cell_angle_alpha 90.00
_cell_angle_beta 90.00
_cell_angle_gamma 90.00
_space_group_name_H-M_alt 'I -4 2 m'
_space_group_IT_number 121
_space_group_name_Hall 'I -4 2'
loop_
_atom_site_label
_atom_site_type_symbol
_atom_site_fract_x
_atom_site_fract_y
_atom_site_fract_z
Y1 Y 0.180 0.180 0.366
Ho1 Ho 0.000 0.500 0.000
Ho2 Ho 0.185 0.185 0.170
Er1 Er 0.000 0.000 0.000
# **D(E_F)**: 27.87 states/eV/cell
# **Electronic total energy**: -4.9510 eV per atom
# **Distance to the lowest polymorph of the same formula**: 0.35 kcal/mol of atoms
# **Crystal system**: tetragonal
# **Formation energy**: 30.04 kJ per mole of atoms

=====

# 3
# Y3Ho2Er7, relaxed, DFT PBE
data_Y3Ho2Er7
_cell_length_a 6.146
_cell_length_b 5.481
_cell_length_c 11.946
_cell_angle_alpha 90.00
_cell_angle_beta 92.54
_cell_angle_gamma 90.00
_space_group_name_H-M_alt 'P 1 2/m 1'
_space_group_IT_number 10
loop_
_space_group_symop_operation_xyz
'x,y,z'
'-x,-y,-z'
'-x,y,-z'
'x,-y,z'
loop_
_atom_site_label
_atom_site_type_symbol
_atom_site_fract_x
_atom_site_fract_y
_atom_site_fract_z
Y1 Y 0.000 0.000 0.000
Y2 Y 0.447 0.500 0.337
Ho1 Ho 0.105 0.000 0.280
Er1 Er 0.069 0.500 0.820
Er2 Er 0.267 0.000 0.548
Er3 Er 0.417 0.000 0.834
Er4 Er 0.500 0.500 0.000
# **D(E_F)**: 19.28 states/eV/cell
# **Electronic total energy**: -4.7230 eV per atom
# **Distance to the lowest polymorph of the same formula**: 4.86 kcal/mol of atoms
# **Crystal system**: monoclinic
# **Formation energy**: 30.65 kJ per mole of atoms

=====

no.,size of the total moment (μB per cell)
1,0.85
2,0.00
3,0.00